Material: MgHg2Ge
Method: DFT, PBE
State: relaxed

Output
- total energy (eV/atom) = -1.6292
- size of the total moment (μB per formula unit) = 0.00

Lattice parameters (Å, degrees): 10.433 10.433 10.433 155.98 155.98 34.24
Fractional positions:
Mg 0.000 0.000 0.000
Mg 0.750 0.250 0.500
Hg 0.122 0.625 0.997
Hg 0.375 0.372 0.497
Hg 0.628 0.125 0.003
Hg 0.875 0.878 0.503
Ge 0.250 0.750 0.500
Ge 0.500 0.500 0.000

=====

Material: MgHgGe2
Method: DFT, PBE
State: relaxed

Output
- total energy (eV/atom) = -2.5900
- size of the total moment (μB per formula unit) = 0.00

Lattice parameters (Å, degrees): 4.936 4.936 4.936 60.00 60.00 60.00
Fractional positions:
Mg 0.000 0.000 0.000
Hg 0.500 0.500 0.500
Ge 0.250 0.250 0.250
Ge 0.750 0.750 0.750

=====

Material: MgHg2Ge
Method: DFT, PBE
State: relaxed

Output
- total energy (eV/atom) = -1.5208
- size of the total moment (μB per formula unit) = 0.00

Lattice parameters (Å, degrees): 11.097 11.097 11.097 16.55 16.55 16.55
Fractional positions:
Mg 0.000 0.000 0.000
Hg 0.088 0.088 0.088
Hg 0.912 0.912 0.912
Ge 0.500 0.500 0.500

=====

Material: Mg3HgGe
Method: DFT, PBE
State: relaxed

Output
- total energy (eV/atom) = -2.0995
- size of the total moment (μB per formula unit) = 0.00

Lattice parameters (Å, degrees): 4.712 4.712 11.159 90.00 90.00 118.76
Fractional positions:
Mg 0.006 0.994 0.750
Mg 0.333 0.667 0.091
Mg 0.333 0.667 0.409
Mg 0.667 0.333 0.591
Mg 0.667 0.333 0.909
Mg 0.994 0.006 0.250
Hg 0.343 0.657 0.750
Hg 0.657 0.343 0.250
Ge 0.000 0.000 0.000
Ge 0.000 0.000 0.500

=====

Material: Mg2MnHgGe
Method: DFT, PBE
State: relaxed

Output
- total energy (eV/atom) = -2.8748
- size of the total moment (μB per formula unit) = 4.41

Lattice parameters (Å, degrees): 4.990 4.990 5.473 90.00 90.00 90.00
Fractional positions:
Mg 0.000 0.500 0.000
Mg 0.500 0.000 0.000
Mn 0.000 0.000 0.500
Hg 0.500 0.500 0.500
Ge 0.500 0.500 0.000

=====

Material: MgHgGe2N
Method: DFT, PBE
State: relaxed

Output
- total energy (eV/atom) = -2.6420
- size of the total moment (μB per formula unit) = 0.00

Lattice parameters (Å, degrees): 5.416 5.416 4.044 90.00 90.00 90.00
Fractional positions:
Mg 0.000 0.000 0.000
Hg 0.500 0.500 0.500
Ge 0.000 0.500 0.500
Ge 0.500 0.000 0.500
N 0.500 0.500 0.000

=====

Material: MgNbHg2Ge
Method: DFT, PBE
State: relaxed

Output
- total energy (eV/atom) = -2.7784
- size of the total moment (μB per formula unit) = 0.00

Lattice parameters (Å, degrees): 5.422 5.422 4.983 90.00 90.00 90.00
Fractional positions:
Mg 0.000 0.000 0.000
Nb 0.500 0.500 0.500
Hg 0.000 0.500 0.500
Hg 0.500 0.000 0.500
Ge 0.500 0.500 0.000

=====

Material: Mg2Ni5HgGe2
Method: DFT, PBE
State: relaxed

Output
- total energy (eV/atom) = -4.3403
- size of the total moment (μB per formula unit) = 0.00

Lattice parameters (Å, degrees): 9.114 9.114 3.507 90.00 90.00 90.00
Fractional positions:
Mg 0.173 0.327 0.000
Mg 0.327 0.827 0.000
Mg 0.673 0.173 0.000
Mg 0.827 0.673 0.000
Ni 0.000 0.500 0.500
Ni 0.067 0.788 0.500
Ni 0.212 0.067 0.500
Ni 0.288 0.567 0.500
Ni 0.433 0.288 0.500
Ni 0.500 0.000 0.500
Ni 0.567 0.712 0.500
Ni 0.712 0.433 0.500
Ni 0.788 0.933 0.500
Ni 0.933 0.212 0.500
Hg 0.000 0.000 0.000
Hg 0.500 0.500 0.000
Ge 0.125 0.625 0.000
Ge 0.375 0.125 0.000
Ge 0.625 0.875 0.000
Ge 0.875 0.375 0.000

=====

What is the formula in the fourth record?
Mg3HgGe

=====

What is the formula in the seventh record?
MgNbHg2Ge